This record from Alexandria describes CdH7Ru2 after structural relaxation. The functional is PBE-GGA.

Properties
Fermi-level density of states	2.91	states/eV/cell
space-group type	Cmmm
E	-4.161	eV per atom

```
10
Lattice="2.958 -4.100 0.000 2.958 4.100 0.000 0.000 0.000 3.280" Properties=species:S:1:pos:R:3 pbc="T T T"
Cd 0.000 0.000 0.000
H 1.342 1.116 1.640
H 2.958 1.251 0.000
H 1.342 -1.116 1.640
H 2.958 0.000 1.640
H 4.575 1.116 1.640
H 2.958 -1.251 0.000
H 4.575 -1.116 1.640
Ru 2.958 1.808 1.640
Ru 2.958 -1.808 1.640
```

---

This record from Alexandria describes BaIrOs2 after structural relaxation. The functional is PBE-GGA.

Properties
ΔH_f (0 K)	62.8	kJ per mole of atoms
Fermi-level density of states	5.20	states/eV/cell
energy relative to the lowest polymorph listed for this composition	0.371	eV per atom
space-group type	P4mm

```
4
Lattice="2.965 0.000 0.000 0.000 2.965 0.000 0.000 0.000 8.668" Properties=species:S:1:pos:R:3 pbc="T T T"
Ba 0.000 0.000 0.000
Ir 1.482 1.482 2.648
Os 0.000 0.000 4.384
Os 1.482 1.482 5.964
```

---

This record from Alexandria describes AcNpPaO6 after structural relaxation. The functional is PBE-GGA.

Properties
energy relative to the elements, uncorrected	-3.328	eV per atom
Fermi-level density of states	23.26	states/eV/cell
space-group type	P4_2nm

```
18
Lattice="5.277 0.000 0.000 0.000 5.277 0.000 0.000 0.000 11.043" Properties=species:S:1:pos:R:3 pbc="T T T"
Ac 0.000 0.000 0.000
Ac 2.639 2.639 5.521
Np 0.000 0.000 3.669
Np 2.639 2.639 9.191
Pa 0.000 0.000 7.360
Pa 2.639 2.639 1.839
O 0.903 0.903 5.550
O 1.043 1.043 8.995
O 1.075 1.075 2.005
O 1.563 3.714 7.527
O 1.595 3.682 3.474
O 1.736 3.541 0.028
O 3.541 1.736 0.028
O 3.682 1.595 3.474
O 3.714 1.563 7.527
O 4.202 4.202 2.005
O 4.234 4.234 8.995
O 4.375 4.375 5.550
```

---

This record from Alexandria describes Sm3ErSc after structural relaxation. The functional is PBE-GGA.

Properties
ΔH_f (0 K)	2.9	kJ per mole of atoms
Fermi-level density of states	14.23	states/eV/cell
energy relative to the lowest polymorph listed for this composition	0.000	eV per atom
space-group type	P-1

```
10
Lattice="3.520 0.000 0.000 1.759 8.613 0.000 0.007 4.274 10.376" Properties=species:S:1:pos:R:3 pbc="T T T"
Sm 0.885 4.913 4.382
Sm 0.879 1.746 0.338
Sm 2.640 10.985 6.795
Sm 2.646 1.902 3.581
Sm 4.407 11.141 10.039
Sm 4.401 7.975 5.995
Er 2.645 7.546 2.788
Er 2.642 5.341 7.588
Sc 2.644 8.362 8.876
Sc 2.643 4.525 1.500
```